(1)
BaPr2Ga | GGA-PBE | relaxed

a = 11.427 Å, b = 11.427 Å, c = 11.427 Å
α = 19.76°, β = 19.76°, γ = 19.76°
Positions (direct):
1 Ba 0.000 0.000 0.000
2 Pr 0.230 0.230 0.230
3 Pr 0.770 0.770 0.770
4 Ga 0.500 0.500 0.500

Energy above the most stable polymorph in this dataset, eV per atom: 0.075
Magnetic moment, μB per formula unit: 0.00
ΔE_f, eV/atom: -0.09
DOS(E_F), states/eV per cell: 4.73
Mass density, g/cm3: 5.44

---

(2)
TmHfIr | GGA-PBE | relaxed

a = 6.113 Å, b = 6.113 Å, c = 6.113 Å
α = 148.00°, β = 148.00°, γ = 45.88°
Positions (direct):
1 Tm 0.000 0.000 0.000
2 Hf 0.287 0.287 0.000
3 Ir 0.664 0.664 0.000

Energy above the most stable polymorph in this dataset, eV per atom: 0.223
Magnetic moment, μB per formula unit: 1.12
ΔE_f, eV/atom: -0.54
DOS(E_F), states/eV per cell: 2.75
Mass density, g/cm3: 14.02

---

(3)
OsPt3Pb | GGA-PBE | relaxed

a = 4.884 Å, b = 4.884 Å, c = 4.884 Å
α = 90.00°, β = 90.00°, γ = 90.00°
Positions (direct):
1 Os 0.000 0.000 0.000
2 Pt 0.000 0.000 0.500
3 Pt 0.000 0.500 0.000
4 Pt 0.500 0.000 0.000
5 Pb 0.500 0.500 0.500

Energy above the most stable polymorph in this dataset, eV per atom: 0.000
Magnetic moment, μB per formula unit: 0.00
ΔE_f, eV/atom: 0.90
DOS(E_F), states/eV per cell: 5.17
Mass density, g/cm3: 14.00

---

(4)
Er5Hg2Pd2 | GGA-PBE | relaxed

a = 8.768 Å, b = 8.768 Å, c = 7.514 Å
α = 90.00°, β = 90.00°, γ = 51.42°
Positions (direct):
1 Er 0.000 0.000 0.000
2 Er 0.047 0.699 0.668
3 Er 0.199 0.547 0.168
4 Er 0.301 0.953 0.668
5 Er 0.453 0.801 0.168
6 Er 0.500 0.500 0.500
7 Er 0.547 0.199 0.832
8 Er 0.699 0.047 0.332
9 Er 0.801 0.453 0.832
10 Er 0.953 0.301 0.332
11 Hg 0.214 0.214 0.000
12 Hg 0.286 0.286 0.500
13 Hg 0.714 0.714 0.500
14 Hg 0.786 0.786 0.000
15 Pd 0.131 0.869 0.368
16 Pd 0.369 0.631 0.868
17 Pd 0.631 0.369 0.132
18 Pd 0.869 0.131 0.632

Magnetic moment, μB per formula unit: 0.00
ΔE_f, eV/atom: -0.61
DOS(E_F), states/eV per cell: 15.17
Mass density, g/cm3: 10.67

---

(5)
Dy2ErPu | GGA-PBE | relaxed

a = 12.321 Å, b = 12.321 Å, c = 12.321 Å
α = 16.00°, β = 16.00°, γ = 16.00°
Positions (direct):
1 Dy 0.089 0.089 0.089
2 Dy 0.911 0.911 0.911
3 Er 0.500 0.500 0.500
4 Pu 0.000 0.000 0.000

Energy above the most stable polymorph in this dataset, eV per atom: 0.165
Magnetic moment, μB per formula unit: 6.42
ΔE_f, eV/atom: 0.26
DOS(E_F), states/eV per cell: 11.88
Mass density, g/cm3: 9.87